[1]
## TaBeSe2 (SCAN)

Data for a PBEsol-optimized structure of TaBeSe2.

Values from the calculation:
Total moment, μB per atom: 0.000
Total DFT energy (no corrections), eV for the cell shown: -107.69
ΔE_f (raw), meV/atom: 852

a = 4.5048 Å, b = 4.5048 Å, c = 4.5048 Å
α = 60.00°, β = 60.00°, γ = 60.00°
Atoms (fractional coordinates):
1 Be 0.5000 0.5000 0.5000
2 Se 0.0000 0.0000 0.0000
3 Se 0.7500 0.7500 0.7500
4 Ta 0.2500 0.2500 0.2500

[2]
## TaHgSN2 (SCAN)

Data for a PBEsol-optimized structure of TaHgSN2.

Values from the calculation:
Total moment, μB per atom: 0.191
Total DFT energy (no corrections), eV for the cell shown: -162.45
ΔE_f (raw), meV/atom: 102

a = 3.9526 Å, b = 3.9526 Å, c = 5.2085 Å
α = 90.00°, β = 90.00°, γ = 90.00°
Last column: magnetic moment on the atom in μB.
Atoms (fractional coordinates):
1 S 0.0000 0.0000 0.5000  0.01
2 N 0.0000 0.5000 0.0000  0.39
3 N 0.5000 0.0000 0.0000  0.39
4 Hg 0.5000 0.5000 0.5000  0.00
5 Ta 0.0000 0.0000 0.0000  -0.12